# GGA-PBE TcNiIr2, optimized geometry
# Energy of formation   -0.028 eV per atom
# Final energy   -33.982 eV/f.u.
data_TcNiIr2
_cell_length_a 4.6638
_cell_length_b 4.6638
_cell_length_c 4.6323
_cell_angle_alpha 99.71
_cell_angle_beta 99.71
_cell_angle_gamma 33.74
_symmetry_space_group_name_H-M 'P 1'
_symmetry_Int_Tables_number 1
loop_
_symmetry_equiv_pos_as_xyz
'x,y,z'
loop_
_atom_site_label
_atom_site_type_symbol
_atom_site_fract_x
_atom_site_fract_y
_atom_site_fract_z
Tc1 Tc 0.0000 0.0000 0.0000
Ni1 Ni 0.2475 0.2475 0.7455
Ir1 Ir 0.4968 0.4968 0.5085
Ir2 Ir 0.7498 0.7498 0.2371

=====

# GGA-PBE TaSiCl2, optimized geometry
# Formation energy from raw total energies   -308 meV per atom
# Final energy   -22.201 eV/f.u.
data_TaSiCl2
_cell_length_a 7.9038
_cell_length_b 7.9038
_cell_length_c 7.9038
_cell_angle_alpha 158.46
_cell_angle_beta 146.15
_cell_angle_gamma 40.48
_symmetry_space_group_name_H-M 'P 1'
_symmetry_Int_Tables_number 1
loop_
_symmetry_equiv_pos_as_xyz
'x,y,z'
loop_
_atom_site_label
_atom_site_type_symbol
_atom_site_fract_x
_atom_site_fract_y
_atom_site_fract_z
Ta1 Ta 0.0000 0.0000 0.0000
Si1 Si 0.5000 0.5000 0.0000
Cl1 Cl 0.1415 0.6415 0.5000
Cl2 Cl 0.8585 0.3585 0.5000

=====

# GGA-PBE CoGeI3, optimized geometry
# Formation energy from raw total energies   700 meV per atom
# Final energy   -12.876 eV/f.u.
data_CoGeI3
_cell_length_a 5.7703
_cell_length_b 5.7703
_cell_length_c 5.7703
_cell_angle_alpha 90.00
_cell_angle_beta 90.00
_cell_angle_gamma 90.00
_symmetry_space_group_name_H-M 'P 1'
_symmetry_Int_Tables_number 1
loop_
_symmetry_equiv_pos_as_xyz
'x,y,z'
loop_
_atom_site_label
_atom_site_type_symbol
_atom_site_fract_x
_atom_site_fract_y
_atom_site_fract_z
Co1 Co 0.0000 0.0000 0.0000
Ge1 Ge 0.5000 0.5000 0.5000
I1 I 0.0000 0.5000 0.5000
I2 I 0.5000 0.0000 0.5000
I3 I 0.5000 0.5000 0.0000

=====

no.,total moment (Bohr magnetons per cell)
1,0.00
2,0.58
3,2.81